## Nd3Dy6Y2In (PBE)

Data for a relaxed Nd3Dy6Y2In crystal.

Calculated values
V, Å³/atom: 31.541
Symmetry: C2/m, No. 12
Formation enthalpy at 0 K, meV per atom: -39
Calculated total energy, eV per atom: -4.84

a = 6.1544 Å, b = 6.1544 Å, c = 11.7238 Å
α = 95.04°, β = 95.04°, γ = 120.02°
Closest atoms and distances in Å follow each position.
Sites, in units of the cell vectors:
Nd (0.5000, 0.5000, 0.5000)  6 Nd 3.55-3.56, 6 Dy 3.59-3.60
Y (0.3337, 0.6663, 0.0000)  6 Dy 3.49-3.50, 3 Y 3.54-3.56, 3 In 3.55-3.56
Nd (0.1674, 0.8326, 0.5000)  6 Nd 3.54-3.57, 6 Dy 3.58-3.62
In (0.0000, 0.0000, 0.0000)  6 Dy 3.46-3.48, 6 Y 3.55-3.56
Dy (0.2468, 0.2468, 0.7549)  1 In 3.48, 6 Dy 3.49-3.59, 2 Y 3.50, 3 Nd 3.58-3.60
Nd (0.8326, 0.1674, 0.5000)  6 Nd 3.54-3.57, 6 Dy 3.58-3.62
Dy (0.0804, 0.4077, 0.2439)  1 In 3.46, 6 Dy 3.49-3.59, 2 Y 3.49-3.50, 3 Nd 3.59-3.62
Dy (0.7532, 0.7532, 0.2451)  1 In 3.48, 6 Dy 3.49-3.59, 2 Y 3.50, 3 Nd 3.58-3.60
Dy (0.9196, 0.5923, 0.7561)  1 In 3.46, 6 Dy 3.49-3.59, 2 Y 3.49-3.50, 3 Nd 3.59-3.62
Dy (0.4077, 0.0804, 0.2439)  1 In 3.46, 6 Dy 3.49-3.59, 2 Y 3.49-3.50, 3 Nd 3.59-3.62
Dy (0.5923, 0.9196, 0.7561)  1 In 3.46, 6 Dy 3.49-3.59, 2 Y 3.49-3.50, 3 Nd 3.59-3.62
Y (0.6663, 0.3337, 0.0000)  6 Dy 3.49-3.50, 3 Y 3.54-3.56, 3 In 3.55-3.56